[1]
DFT (PBE) results for a relaxed structure of PmDy2Tm.

Unit cell a=5.0200 b=5.0200 c=5.0390 alpha=90.00 beta=90.00 gamma=90.00
With the nearest neighbours (Å) after each atom.
Sites, in units of the cell vectors:
Pm (0.0000, 0.0000, 0.0000)  4 Tm 3.55, 8 Dy 3.56
Dy (0.0000, 0.5000, 0.5000)  4 Dy 3.55, 4 Tm 3.56, 4 Pm 3.56
Dy (0.5000, 0.0000, 0.5000)  4 Dy 3.55, 4 Tm 3.56, 4 Pm 3.56
Tm (0.5000, 0.5000, 0.0000)  4 Pm 3.55, 8 Dy 3.56

Computed properties:
- offset from the most stable computed form (kcal/mol of atoms) = 0.23
- final energy (eV/cell) = -18.3
- calculated formation energy (meV per atom) = 22



[2]
DFT (PBE) results for a relaxed structure of Pm2Dy3Tm7.

Unit cell a=18.9228 b=18.9228 c=3.5847 alpha=90.00 beta=90.00 gamma=162.90
With the nearest neighbours (Å) after each atom.
Sites, in units of the cell vectors:
Pm (0.1468, 0.8532, 0.0000)  3 Tm 3.13-3.36
Pm (0.8532, 0.1468, 0.0000)  3 Tm 3.13-3.36
Dy (0.3141, 0.6859, 0.5000)  2 Dy 3.58, 6 Tm 3.61-3.73, 4 Pm 3.64
Dy (0.5000, 0.5000, 0.5000)  4 Tm 3.34, 2 Dy 3.58
Dy (0.6859, 0.3141, 0.5000)  2 Dy 3.58, 6 Tm 3.61-3.73, 4 Pm 3.64
Tm (0.0000, 0.0000, 0.0000)  4 Tm 3.20, 4 Dy 3.34
Tm (0.0707, 0.9293, 0.5000)  6 Tm 3.20-3.41, 2 Pm 3.36
Tm (0.2304, 0.7696, 0.0000)  1 Pm 3.13, 2 Tm 3.17
Tm (0.4108, 0.5892, 0.0000)  6 Tm 3.41-3.58, 2 Pm 3.54, 2 Dy 3.79
Tm (0.5892, 0.4108, 0.0000)  6 Tm 3.41-3.58, 2 Pm 3.54, 2 Dy 3.79
Tm (0.7696, 0.2304, 0.0000)  1 Pm 3.13, 2 Tm 3.17
Tm (0.9293, 0.0707, 0.5000)  6 Tm 3.20-3.41, 2 Pm 3.36

Computed properties:
- offset from the most stable computed form (kcal/mol of atoms) = 0.00
- final energy (eV/cell) = -53.2
- calculated formation energy (meV per atom) = 114



[3]
DFT (PBE) results for a relaxed structure of PmDy5Tm7.

Unit cell a=8.6009 b=8.6009 c=8.6009 alpha=134.47 beta=100.82 gamma=96.42
With the nearest neighbours (Å) after each atom.
Sites, in units of the cell vectors:
Pm (0.0000, 0.0000, 0.0000)  7 Tm 3.49-3.85, 4 Dy 3.73
Dy (0.0273, 0.0314, 0.4598)  3 Tm 3.07-3.44, 2 Dy 3.09-3.36
Dy (0.0273, 0.5675, 0.9959)  3 Tm 3.07-3.44, 2 Dy 3.09-3.36
Dy (0.3024, 0.8024, 0.5000)  6 Tm 3.33-3.44, 4 Dy 3.36
Dy (0.5716, 0.0314, 0.0041)  3 Tm 3.07-3.44, 2 Dy 3.09-3.36
Dy (0.5716, 0.5675, 0.5402)  3 Tm 3.07-3.44, 2 Dy 3.09-3.36
Tm (0.2187, 0.5495, 0.6692)  5 Tm 3.42-3.77, 5 Dy 3.44
Tm (0.3042, 0.3042, 0.0000)  6 Dy 3.33-3.48, 1 Pm 3.49, 1 Tm 3.50
Tm (0.3831, 0.0519, 0.3312)  4 Tm 3.39-3.77, 5 Dy 3.41-3.47, 1 Pm 3.68
Tm (0.6094, 0.6094, 0.0000)  7 Tm 3.50-3.87, 4 Dy 3.66
Tm (0.7207, 0.0519, 0.6688)  4 Tm 3.39-3.77, 5 Dy 3.41-3.47, 1 Pm 3.68
Tm (0.7994, 0.2994, 0.5000)  4 Dy 3.07, 4 Tm 3.39-3.42
Tm (0.8803, 0.5495, 0.3308)  5 Tm 3.42-3.77, 5 Dy 3.44

Computed properties:
- final energy (eV/cell) = -55.7
- calculated formation energy (meV per atom) = 256



[4]
DFT (PBE) results for a relaxed structure of Pm3Dy5Tm4.

Unit cell a=8.5012 b=8.5012 c=9.2193 alpha=114.43 beta=114.43 gamma=40.44
With the nearest neighbours (Å) after each atom.
Sites, in units of the cell vectors:
Pm (0.0000, 0.0000, 0.0000)  2 Dy 2.94
Pm (0.2924, 0.2924, 0.7718)  3 Dy 3.04-3.23, 2 Tm 3.27-3.38
Pm (0.7076, 0.7076, 0.2282)  3 Dy 3.04-3.23, 2 Tm 3.27-3.38
Dy (0.0745, 0.0745, 0.6973)  2 Pm 3.23-3.48, 1 Dy 3.36, 2 Tm 3.59
Dy (0.1730, 0.1730, 0.3887)  4 Pm 3.19-3.44, 3 Tm 3.41-3.53
Dy (0.5000, 0.5000, 0.0000)  4 Pm 2.94-3.04
Dy (0.8270, 0.8270, 0.6113)  4 Pm 3.19-3.44, 3 Tm 3.41-3.53
Dy (0.9255, 0.9255, 0.3027)  2 Pm 3.23-3.48, 1 Dy 3.36, 2 Tm 3.59
Tm (0.2903, 0.2903, 0.1247)  3 Pm 3.27-3.52, 2 Dy 3.59, 3 Tm 3.60-3.61
Tm (0.4190, 0.4190, 0.5595)  1 Tm 3.22, 1 Pm 3.38, 3 Dy 3.41-3.53
Tm (0.5810, 0.5810, 0.4405)  1 Tm 3.22, 1 Pm 3.38, 3 Dy 3.41-3.53
Tm (0.7097, 0.7097, 0.8753)  3 Pm 3.27-3.52, 2 Dy 3.59, 3 Tm 3.60-3.61

Computed properties:
- offset from the most stable computed form (kcal/mol of atoms) = 5.17
- final energy (eV/cell) = -52.2
- calculated formation energy (meV per atom) = 243



[5]
DFT (PBE) results for a relaxed structure of Pm4DyTm7.

Unit cell a=6.6981 b=6.6981 c=12.7162 alpha=115.17 beta=115.17 gamma=51.72
With the nearest neighbours (Å) after each atom.
Sites, in units of the cell vectors:
Pm (0.1401, 0.1401, 0.2773)  7 Tm 3.35-3.67, 2 Pm 3.58
Pm (0.2784, 0.2784, 0.8347)  4 Tm 3.26-3.50, 2 Pm 3.58
Pm (0.7216, 0.7216, 0.1653)  4 Tm 3.26-3.50, 2 Pm 3.58
Pm (0.8599, 0.8599, 0.7227)  7 Tm 3.35-3.67, 2 Pm 3.58
Dy (0.5000, 0.5000, 0.5000)  4 Tm 2.92-3.13
Tm (0.0000, 0.0000, 0.5000)  2 Dy 2.92, 2 Tm 3.13
Tm (0.1320, 0.1320, 0.9941)  4 Tm 3.26-3.59, 5 Pm 3.26-3.56
Tm (0.2882, 0.2882, 0.5762)  1 Dy 3.13, 4 Tm 3.13-3.38, 4 Pm 3.34-3.35
Tm (0.4307, 0.4307, 0.1892)  4 Tm 3.27-3.59, 1 Dy 3.63
Tm (0.5693, 0.5693, 0.8108)  4 Tm 3.27-3.59, 1 Dy 3.63
Tm (0.7118, 0.7118, 0.4238)  1 Dy 3.13, 4 Tm 3.13-3.38, 4 Pm 3.34-3.35
Tm (0.8680, 0.8680, 0.0059)  4 Tm 3.26-3.59, 5 Pm 3.26-3.56

Computed properties:
- offset from the most stable computed form (kcal/mol of atoms) = 4.38
- final energy (eV/cell) = -51.6
- calculated formation energy (meV per atom) = 278



[6]
DFT (PBE) results for a relaxed structure of Pm4DyTm5.

Unit cell a=7.9047 b=7.9047 c=7.9047 alpha=98.81 beta=98.81 gamma=133.91
With the nearest neighbours (Å) after each atom.
Sites, in units of the cell vectors:
Pm (0.0432, 0.3448, 0.3880)  4 Tm 3.22-3.52, 1 Pm 3.31
Pm (0.3448, 0.9568, 0.3016)  4 Tm 3.22-3.52, 1 Pm 3.31
Pm (0.6552, 0.0432, 0.6984)  4 Tm 3.22-3.52, 1 Pm 3.31
Pm (0.9568, 0.6552, 0.6120)  4 Tm 3.22-3.52, 1 Pm 3.31
Dy (0.7670, 0.7670, 0.0000)  1 Tm 2.89
Tm (0.2340, 0.2340, 0.0000)  1 Dy 2.89
Tm (0.2727, 0.6500, 0.9256)  4 Pm 3.22-3.52, 1 Tm 3.24, 1 Dy 3.25
Tm (0.3471, 0.2727, 0.6227)  4 Pm 3.22-3.52, 1 Tm 3.24, 1 Dy 3.25
Tm (0.6500, 0.7244, 0.3773)  4 Pm 3.22-3.52, 1 Tm 3.24, 1 Dy 3.25
Tm (0.7244, 0.3471, 0.0744)  4 Pm 3.22-3.52, 1 Tm 3.24, 1 Dy 3.25

Computed properties:
- offset from the most stable computed form (kcal/mol of atoms) = 2.26
- final energy (eV/cell) = -43.0
- calculated formation energy (meV per atom) = 294



[7]
DFT (PBE) results for a relaxed structure of Pm12DyTm6.

Unit cell a=9.4994 b=9.4994 c=9.4994 alpha=110.90 beta=110.90 gamma=110.90
With the nearest neighbours (Å) after each atom.
Sites, in units of the cell vectors:
Pm (0.0561, 0.5798, 0.3710)  4 Tm 3.57-3.64, 8 Pm 3.58-3.62
Pm (0.1044, 0.1574, 0.7372)  8 Pm 3.58-3.61, 1 Dy 3.58, 3 Tm 3.61-3.63
Pm (0.1574, 0.7372, 0.1044)  1 Dy 3.58, 8 Pm 3.58-3.61, 3 Tm 3.61-3.63
Pm (0.2628, 0.8956, 0.8426)  8 Pm 3.58-3.61, 1 Dy 3.58, 3 Tm 3.61-3.63
Pm (0.3710, 0.0561, 0.5798)  4 Tm 3.57-3.64, 8 Pm 3.58-3.62
Pm (0.4202, 0.6290, 0.9439)  4 Tm 3.57-3.64, 8 Pm 3.58-3.62
Pm (0.5798, 0.3710, 0.0561)  4 Tm 3.57-3.64, 8 Pm 3.58-3.62
Pm (0.6290, 0.9439, 0.4202)  4 Tm 3.57-3.64, 8 Pm 3.58-3.62
Pm (0.7372, 0.1044, 0.1574)  8 Pm 3.58-3.61, 1 Dy 3.58, 3 Tm 3.61-3.63
Pm (0.8426, 0.2628, 0.8956)  8 Pm 3.58-3.61, 1 Dy 3.58, 3 Tm 3.61-3.63
Pm (0.8956, 0.8426, 0.2628)  8 Pm 3.58-3.61, 1 Dy 3.58, 3 Tm 3.61-3.63
Pm (0.9439, 0.4202, 0.6290)  4 Tm 3.57-3.64, 8 Pm 3.58-3.62
Dy (0.0000, 0.0000, 0.0000)  6 Tm 3.58, 6 Pm 3.58
Tm (0.2138, 0.3175, 0.4721)  4 Tm 3.52-3.56, 7 Pm 3.57-3.64, 1 Dy 3.58
Tm (0.3175, 0.4721, 0.2138)  4 Tm 3.52-3.56, 7 Pm 3.57-3.64, 1 Dy 3.58
Tm (0.4721, 0.2138, 0.3175)  4 Tm 3.52-3.56, 7 Pm 3.57-3.64, 1 Dy 3.58
Tm (0.5279, 0.7862, 0.6825)  4 Tm 3.52-3.56, 7 Pm 3.57-3.64, 1 Dy 3.58
Tm (0.6825, 0.5279, 0.7862)  4 Tm 3.52-3.56, 7 Pm 3.57-3.64, 1 Dy 3.58
Tm (0.7862, 0.6825, 0.5279)  4 Tm 3.52-3.56, 7 Pm 3.57-3.64, 1 Dy 3.58

Computed properties:
- offset from the most stable computed form (kcal/mol of atoms) = 0.00
- final energy (eV/cell) = -88.1
- calculated formation energy (meV per atom) = 17



[8]
DFT (PBE) results for a relaxed structure of Pm2Dy2Tm3.

Unit cell a=8.8912 b=8.8912 c=8.4945 alpha=118.48 beta=118.48 gamma=22.66
With the nearest neighbours (Å) after each atom.
Sites, in units of the cell vectors:
Pm (0.0672, 0.0672, 0.4117)  3 Pm 3.34-3.49, 5 Tm 3.42-3.56, 2 Dy 3.60
Pm (0.9328, 0.9328, 0.5883)  3 Pm 3.34-3.49, 5 Tm 3.42-3.56, 2 Dy 3.60
Dy (0.3502, 0.3502, 0.1667)  4 Dy 3.49-3.70, 4 Tm 3.52-3.59, 4 Pm 3.60-3.75
Dy (0.6498, 0.6498, 0.8333)  4 Dy 3.49-3.70, 4 Tm 3.52-3.59, 4 Pm 3.60-3.75
Tm (0.2884, 0.2884, 0.6991)  5 Tm 3.31-3.49, 3 Pm 3.42-3.55, 3 Dy 3.57-3.59
Tm (0.5000, 0.5000, 0.0000)  4 Tm 3.31-3.49, 2 Dy 3.52, 4 Pm 3.56
Tm (0.7116, 0.7116, 0.3009)  5 Tm 3.31-3.49, 3 Pm 3.42-3.55, 3 Dy 3.57-3.59

Computed properties:
- offset from the most stable computed form (kcal/mol of atoms) = 0.00
- final energy (eV/cell) = -31.2
- calculated formation energy (meV per atom) = 125